## SrSbMo2 (PBE)

Data for a relaxed SrSbMo2 crystal.

The space group is P4/mmm (No. 123) and the conventional cell measures 4.2558, 4.2558 and 4.6621 Å, with angles of 90.00, 90.00 and 90.00 degrees. Symmetry generates all atoms from Sr at (0.0000, 0.0000, 0.0000), Sb at (0.5000, 0.5000, 0.0000) and Mo at (0.0000, 0.5000, 0.5000).

As for the uncorrected formation energy: 796 meV per atom. For the magnetic moment, the calculation gives 0.00 μB/atom. Its density of states at the Fermi level is 4.34 states/eV/cell. Its total energy is -24.3 eV for the cell shown.